NdYBe2Ge2 | PBE-GGA | relaxed

```
NdYBe2Ge2
1.0
3.959 0.000 0.000
-1.980 3.429 0.000
0.000 0.000 8.317
Be Ge Nd Y
2 2 1 1
Cartesian
1.980 1.143 2.025
0.000 2.286 6.292
0.000 2.286 2.012
1.980 1.143 6.304
0.000 0.000 4.158
0.000 0.000 0.000
```

* total energy: -0.391 Ry/atom
* V: 18.8 Å³ per atom

BeNi2Ge | PBE-GGA | relaxed

```
BeNi2Ge
1.0
0.000 2.806 2.806
2.806 0.000 2.806
2.806 2.806 0.000
Be Ge Ni
1 1 2
Cartesian
1.403 1.403 1.403
2.806 2.806 2.806
0.000 0.000 0.000
4.208 4.208 4.208
```

* total energy: -0.367 Ry/atom
* V: 11.0 Å³ per atom

Be2NiGe | PBE-GGA | relaxed

```
Be2NiGe
1.0
3.719 -0.436 1.146
0.802 -1.635 3.467
1.594 -3.573 0.158
Be Ge Ni
2 1 1
Cartesian
0.000 0.000 0.000
4.586 -4.233 3.578
3.057 -2.822 2.385
1.529 -1.411 1.193
```

* total energy: -0.319 Ry/atom
* V: 10.6 Å³ per atom

Be2Ni3Ge2 | PBE-GGA | relaxed

```
Be2Ni3Ge2
1.0
-5.438 2.692 2.692
-2.692 2.692 5.438
-2.692 5.438 2.692
Be Ge Ni
2 2 3
Cartesian
-2.641 2.641 2.641
-8.170 8.170 8.170
-0.094 0.094 0.094
-5.350 5.350 5.350
-4.021 4.021 4.021
-6.747 6.747 6.747
-9.506 9.506 9.506
```

* total energy: -0.372 Ry/atom
* V: 11.7 Å³ per atom